A plane-wave DFT calculation with PBE-GGA was carried out for HfMg14Si after structural relaxation.

Crystal system: orthorhombic
E_form (uncorrected) in meV/atom: 30
ΔE to the lowest computed polymorph in eV/atom: 0.000

Lattice parameters (Å, degrees): 6.337 6.337 10.261 90.00 90.00 122.31
Atoms (fractional coordinates):
Mg 0.170 0.334 0.745
Mg 0.829 0.667 0.000
Mg 0.323 0.168 0.500
Mg 0.333 0.171 0.000
Mg 0.171 0.829 0.750
Mg 0.832 0.677 0.500
Mg 0.674 0.326 0.263
Mg 0.666 0.830 0.255
Mg 0.332 0.668 0.000
Mg 0.666 0.830 0.745
Hf 0.327 0.673 0.500
Si 0.833 0.167 0.500
Mg 0.170 0.334 0.255
Mg 0.831 0.169 0.000
Mg 0.674 0.326 0.737
Mg 0.171 0.829 0.250

=====

A plane-wave DFT calculation with PBE-GGA was carried out for ThSc2In3Te6 after structural relaxation.

Crystal system: monoclinic
E_form (uncorrected) in meV/atom: -812

Lattice parameters (Å, degrees): 7.407 7.407 8.566 98.30 98.30 119.92
Atoms (fractional coordinates):
Te 0.278 0.278 0.788
In 0.500 0.500 0.500
Te 0.579 0.927 0.782
In 0.839 0.161 0.500
Sc 0.332 0.668 0.000
Sc 0.668 0.332 0.000
Te 0.421 0.073 0.218
Te 0.073 0.421 0.218
Te 0.722 0.722 0.212
Th 0.000 0.000 0.000
In 0.161 0.839 0.500
Te 0.927 0.579 0.782

=====

A plane-wave DFT calculation with PBE-GGA was carried out for K4SbSe4 after structural relaxation.

Crystal system: tetragonal
E_form (uncorrected) in meV/atom: -850

Lattice parameters (Å, degrees): 7.794 7.794 8.690 116.64 116.64 90.00
Site moments in Bohr magnetons follow the coordinates.
Atoms (fractional coordinates):
K 0.500 0.000 0.000  0.00
Se 0.688 0.688 0.768  0.09
K 0.297 0.297 0.594  0.00
Se 0.312 0.920 0.232  0.09
K 0.703 0.703 0.406  0.00
Se 0.920 0.312 0.232  0.09
K 0.000 0.500 0.000  0.00
Se 0.080 0.080 0.768  0.09
Sb 0.000 0.000 0.000  0.08

=====

A plane-wave DFT calculation with PBE-GGA was carried out for MnNb2Ir after structural relaxation.

DFT formation energy in eV per atom: 0.4165
Crystal system: tetragonal

Lattice parameters (Å, degrees): 3.824 3.824 9.892 78.86 78.86 90.00
Site moments in Bohr magnetons follow the coordinates.
Atoms (fractional coordinates):
Nb 0.875 0.873 0.750  -0.16
Mn 0.500 0.500 0.000  3.21
Nb 0.375 0.377 0.750  -0.16
Ir 0.000 0.000 0.000  0.12
Ir 0.750 0.250 0.500  0.12
Nb 0.127 0.625 0.250  -0.16
Mn 0.250 0.750 0.500  3.22
Nb 0.623 0.125 0.250  -0.16

=====

A plane-wave DFT calculation with PBE-GGA was carried out for Au2I8Cl after structural relaxation.

Crystal system: monoclinic
E_form (uncorrected) in meV/atom: 100

Lattice parameters (Å, degrees): 5.799 8.359 10.960 67.58 88.96 87.28
Atoms (fractional coordinates):
I 0.987 0.886 0.692
I 0.013 0.114 0.308
I 0.987 0.578 0.308
Au 0.000 0.759 0.483
I 0.854 0.786 0.000
Cl 0.500 0.000 0.000
I 0.013 0.422 0.692
I 0.500 0.247 0.507
Au 0.000 0.241 0.517
I 0.146 0.214 0.000
I 0.500 0.753 0.493

=====

A plane-wave DFT calculation with PBE-GGA was carried out for ThBiPd2 after structural relaxation.

DFT formation energy in eV per atom: -0.5322
Crystal system: tetragonal

Lattice parameters (Å, degrees): 4.074 4.727 4.727 90.00 90.00 90.00
Atoms (fractional coordinates):
Pd 0.000 0.000 0.500
Th 0.500 0.500 0.500
Pd 0.000 0.500 0.000
Bi 0.500 0.000 0.000

=====

A plane-wave DFT calculation with PBE-GGA was carried out for Ce4Ir2Cl3 after structural relaxation.

Crystal system: monoclinic
E_form (uncorrected) in meV/atom: -1344

Lattice parameters (Å, degrees): 4.062 4.063 17.465 89.75 90.00 119.99
Site moments in Bohr magnetons follow the coordinates.
Atoms (fractional coordinates):
Cl 0.339 0.678 0.595  -0.01
Cl 0.000 0.000 0.000  -0.01
Ce 0.335 0.671 0.876  0.76
Ce 0.004 0.009 0.695  0.71
Ir 0.330 0.660 0.211  -0.06
Ce 0.665 0.329 0.124  0.76
Cl 0.661 0.322 0.405  -0.01
Ce 0.996 0.991 0.305  0.71
Ir 0.670 0.340 0.789  -0.06

=====

A plane-wave DFT calculation with PBE-GGA was carried out for BaInH3 after structural relaxation.

Crystal system: orthorhombic
ΔE to the lowest computed polymorph in eV/atom: 0.000

Lattice parameters (Å, degrees): 4.304 6.941 7.356 118.15 107.04 90.00
Atoms (fractional coordinates):
H 0.543 0.694 0.737
Ba 0.721 0.641 0.092
H 0.543 0.233 0.737
H 0.873 0.070 0.397
In 0.043 0.753 0.737
H 0.214 0.857 0.077
H 0.873 0.517 0.397
H 0.214 0.410 0.076
In 0.043 0.174 0.737
Ba 0.366 0.286 0.381

=====

A plane-wave DFT calculation with PBE-GGA was carried out for As3P after structural relaxation.

DFT formation energy in eV per atom: 0.5845
Crystal system: orthorhombic
ΔE to the lowest computed polymorph in eV/atom: 0.526

Lattice parameters (Å, degrees): 5.720 5.720 2.717 90.00 90.00 123.04
Atoms (fractional coordinates):
As 0.000 0.500 0.500
As 0.500 0.500 0.000
P 0.000 0.000 0.000
As 0.500 0.000 0.500

=====

A plane-wave DFT calculation with PBE-GGA was carried out for BaSrAcCd after structural relaxation.

DFT formation energy in eV per atom: 0.0347
Crystal system: cubic

Lattice parameters (Å, degrees): 6.210 6.210 6.210 60.00 60.00 60.00
Atoms (fractional coordinates):
Ac 0.000 0.000 0.000
Sr 0.750 0.750 0.750
Ba 0.500 0.500 0.500
Cd 0.250 0.250 0.250

=====

A plane-wave DFT calculation with PBE-GGA was carried out for Li4CuRh3O8 after structural relaxation.

Crystal system: monoclinic
E_form (uncorrected) in meV/atom: -1186

Lattice parameters (Å, degrees): 6.019 5.814 6.219 120.13 118.94 90.00
Site moments in Bohr magnetons follow the coordinates.
Atoms (fractional coordinates):
O 0.784 0.289 0.040  0.05
O 0.256 0.289 0.040  0.05
O 0.266 0.272 0.532  0.00
Li 0.500 0.000 0.500  0.00
Rh 0.500 0.500 0.000  0.03
Li 0.000 0.000 0.500  0.00
Rh 0.000 0.500 0.500  0.14
O 0.216 0.711 0.960  0.05
O 0.744 0.711 0.960  0.05
Cu 0.000 0.500 0.000  0.34
O 0.727 0.238 0.454  0.07
Li 0.000 0.000 0.000  0.00
O 0.273 0.762 0.546  0.07
Rh 0.500 0.500 0.500  0.14
Li 0.500 0.000 0.000  0.01
O 0.734 0.728 0.468  0.00

=====

A plane-wave DFT calculation with PBE-GGA was carried out for RbHF3 after structural relaxation.

Crystal system: tetragonal
ΔE to the lowest computed polymorph in eV/atom: 0.278

Lattice parameters (Å, degrees): 5.879 5.879 5.950 60.39 60.39 90.00
Site moments in Bohr magnetons follow the coordinates.
Atoms (fractional coordinates):
F 0.319 0.681 0.000  0.43
Rb 0.250 0.750 0.500  0.00
F 0.681 0.319 0.000  0.43
F 0.319 0.319 0.000  0.43
F 0.681 0.681 0.000  0.43
H 0.000 0.000 0.000  0.00
F 0.136 0.136 0.727  0.08
H 0.500 0.500 0.000  -0.02
Rb 0.750 0.250 0.500  0.00
F 0.864 0.864 0.273  0.08

=====

A plane-wave DFT calculation with PBE-GGA was carried out for KCaCdBr5 after structural relaxation.

Crystal system: monoclinic
E_form (uncorrected) in meV/atom: -1519

Lattice parameters (Å, degrees): 8.028 8.028 10.552 103.90 103.90 106.16
Atoms (fractional coordinates):
Cd 0.318 0.682 0.750
Br 0.737 0.627 0.443
Cd 0.682 0.318 0.250
Br 0.330 0.916 0.612
Br 0.916 0.330 0.112
Br 0.670 0.084 0.388
Br 0.083 0.917 0.250
Br 0.084 0.670 0.888
Br 0.917 0.083 0.750
Ca 0.000 0.000 0.000
Br 0.373 0.263 0.057
Br 0.263 0.373 0.557
Br 0.627 0.737 0.943
K 0.341 0.659 0.250
Ca 0.000 0.000 0.500
K 0.659 0.341 0.750

=====

A plane-wave DFT calculation with PBE-GGA was carried out for LiC after structural relaxation.

DFT formation energy in eV per atom: 0.0174
Crystal system: orthorhombic
ΔE to the lowest computed polymorph in eV/atom: 0.000

Lattice parameters (Å, degrees): 3.632 4.849 5.390 90.00 90.00 90.00
Atoms (fractional coordinates):
C 0.500 0.870 0.000
C 0.000 0.630 0.500
C 0.000 0.370 0.500
Li 0.500 0.500 0.239
Li 0.000 0.000 0.739
Li 0.500 0.500 0.761
C 0.500 0.130 0.000
Li 0.000 0.000 0.261

=====

A plane-wave DFT calculation with PBE-GGA was carried out for HfTcGe after structural relaxation.

DFT formation energy in eV per atom: -0.5405
Crystal system: monoclinic
ΔE to the lowest computed polymorph in eV/atom: 0.159

Lattice parameters (Å, degrees): 7.099 4.065 4.065 90.02 106.58 106.61
Atoms (fractional coordinates):
Tc 0.150 0.169 0.654
Hf 0.854 0.021 0.007
Tc 0.150 0.669 0.154
Hf 0.446 0.317 0.302
Ge 0.890 0.539 0.525
Ge 0.411 0.799 0.784

=====

A plane-wave DFT calculation with PBE-GGA was carried out for In3SiSe4 after structural relaxation.

Crystal system: orthorhombic
E_form (uncorrected) in meV/atom: -374

Lattice parameters (Å, degrees): 6.200 6.578 11.013 90.00 90.00 90.00
Atoms (fractional coordinates):
Se 0.071 0.646 0.000
Se 0.565 0.851 0.327
In 0.601 0.243 0.781
Se 0.065 0.149 0.173
Se 0.086 0.030 0.500
In 0.569 0.542 0.000
Se 0.065 0.149 0.827
Se 0.586 0.970 0.000
In 0.069 0.458 0.500
Se 0.571 0.354 0.500
In 0.601 0.243 0.219
Se 0.565 0.851 0.673
Si 0.459 0.017 0.500
Si 0.959 0.983 0.000
In 0.101 0.757 0.719
In 0.101 0.757 0.281

=====

A plane-wave DFT calculation with PBE-GGA was carried out for LiInTc2 after structural relaxation.

DFT formation energy in eV per atom: -0.0045
Crystal system: tetragonal

Lattice parameters (Å, degrees): 3.091 3.091 6.493 90.00 90.00 90.00
Atoms (fractional coordinates):
Tc 0.000 0.000 0.004
Li 0.500 0.500 0.767
In 0.000 0.000 0.519
Tc 0.500 0.500 0.211

=====

no.,N(E_F) (states/eV/cell)
1,6.76
2,5.10
3,4.54
4,5.52
5,8.27
6,2.90
7,22.17
8,1.24
9,2.02
10,5.52
11,8.48
12,3.33
13,0.00
14,0.00
15,2.85
16,3.68
17,1.34